i) MnGeRu3: relaxed, PBE-GGA.

```
MnGeRu3
1.0
4.442 0.000 0.000
0.000 4.442 0.000
0.000 0.000 4.442
Ge Ru Mn
1 3 1
Direct
0.500 0.500 0.500
0.500 0.000 0.000
0.000 0.500 0.000
0.000 0.000 0.500
0.000 0.000 0.000
```

ii) MnGeRu3: relaxed, PBE-GGA.

```
MnGeRu3
1.0
4.452 0.000 0.000
0.000 4.452 0.000
0.000 0.000 4.452
Ru Ge Mn
3 1 1
Direct
0.500 0.000 0.000
0.000 0.000 0.500
0.000 0.500 0.000
0.000 0.000 0.000
0.500 0.500 0.500
```

i) comes first in stability; the runner-up is 0.333 eV/atom higher.

i) MnSiGeRu2: relaxed, PBE-GGA.

```
MnSiGeRu2
1.0
4.464 0.000 0.000
0.000 4.417 0.000
0.000 0.000 4.464
Ru Si Mn Ge
2 1 1 1
Direct
0.000 0.000 0.500
0.500 0.000 0.000
0.500 0.500 0.500
0.000 0.000 0.000
0.000 0.500 0.000
```

ii) MnSiGeRu2: relaxed, PBE-GGA.

```
MnSiGeRu2
1.0
4.334 0.000 0.000
0.000 4.568 0.000
0.000 0.000 4.334
Ru Mn Si Ge
2 1 1 1
Direct
0.000 0.000 0.500
0.500 0.000 0.000
0.500 0.500 0.500
0.000 0.000 0.000
0.000 0.500 0.000
```

i) comes first in stability; the runner-up is 0.169 eV/atom higher.

i) Mn3GeSb: relaxed, PBE-GGA.

```
Mn3GeSb
1.0
5.058 0.000 0.000
0.000 5.058 0.000
0.000 0.000 5.058
Mn Sb Ge
3 1 1
Direct
0.000 0.000 0.500
0.500 0.000 0.000
0.000 0.500 0.000
0.000 0.000 0.000
0.500 0.500 0.500
```

ii) Mn3GeSb: relaxed, PBE-GGA.

```
Mn3GeSb
1.0
4.340 0.000 0.000
0.000 4.340 0.000
0.000 0.000 4.340
Mn Sb Ge
3 1 1
Direct
0.000 0.000 0.500
0.500 0.000 0.000
0.000 0.500 0.000
0.500 0.500 0.500
0.000 0.000 0.000
```

i) comes first in stability; the runner-up is 0.053 eV/atom higher.